No. 1
# LiCuF3 GGA-PBE relaxed
# * SG: No. 38
data_LiCuF3
_chemical_formula_sum 'Li4 Cu4 F12'
_cell_length_a 5.044
_cell_length_b 5.044
_cell_length_c 8.840
_cell_angle_alpha 90.00
_cell_angle_beta 90.00
_cell_angle_gamma 95.81
_space_group_name_H-M_alt 'P 1'
_space_group_IT_number 1
loop_
_space_group_symop_operation_xyz
'x,y,z'
loop_
_atom_site_label
_atom_site_fract_x
_atom_site_fract_y
_atom_site_fract_z
Li1 0.010 0.497 0.500
Li2 0.503 0.990 0.500
Li3 0.506 0.494 0.500
Li4 0.950 0.050 0.000
Cu1 0.510 0.490 0.828
Cu2 0.510 0.490 0.172
Cu3 0.010 0.990 0.683
Cu4 0.010 0.990 0.317
F1 0.198 0.186 0.500
F2 0.203 0.198 0.831
F3 0.203 0.198 0.169
F4 0.314 0.686 0.352
F5 0.314 0.686 0.648
F6 0.346 0.654 0.000
F7 0.690 0.310 0.000
F8 0.691 0.309 0.348
F9 0.691 0.309 0.652
F10 0.802 0.797 0.169
F11 0.802 0.797 0.831
F12 0.814 0.802 0.500



No. 2
# Li2CuF5 GGA-PBE relaxed
# * SG: No. 2
data_Li2CuF5
_chemical_formula_sum 'Li4 Cu2 F10'
_cell_length_a 5.027
_cell_length_b 5.587
_cell_length_c 7.444
_cell_angle_alpha 97.76
_cell_angle_beta 105.66
_cell_angle_gamma 114.81
_space_group_name_H-M_alt 'P 1'
_space_group_IT_number 1
loop_
_space_group_symop_operation_xyz
'x,y,z'
loop_
_atom_site_label
_atom_site_fract_x
_atom_site_fract_y
_atom_site_fract_z
Li1 0.567 0.956 0.217
Li2 0.141 0.495 0.762
Li3 0.859 0.505 0.238
Li4 0.433 0.044 0.783
Cu1 0.000 0.000 0.000
Cu2 0.500 0.500 0.500
F1 0.688 0.299 0.451
F2 0.882 0.214 0.848
F3 0.676 0.712 0.359
F4 0.987 0.775 0.772
F5 0.559 0.782 0.957
F6 0.441 0.218 0.043
F7 0.013 0.225 0.228
F8 0.324 0.288 0.641
F9 0.118 0.786 0.152
F10 0.312 0.701 0.549



Number 1: uncorrected formation energy -2.019 eV per atom, raw total energy -21.72 eV per formula unit. Number 2: uncorrected formation energy -2.180 eV per atom, raw total energy -34.72 eV per formula unit.